{"formula": "LaPmAgTe", "functional": "PBE", "state": "optimized geometry", "lattice": [[7.669, 0.000, 0.000], [0.000, 7.669, 0.000], [0.000, 0.000, 7.669]], "species": ["La", "La", "La", "La", "Pm", "Pm", "Pm", "Pm", "Ag", "Ag", "Ag", "Ag", "Te", "Te", "Te", "Te"], "frac_coords": [[0.000, 0.000, 0.000], [0.000, 0.500, 0.500], [0.500, 0.000, 0.500], [0.500, 0.500, 0.000], [0.000, 0.000, 0.500], [0.000, 0.500, 0.000], [0.500, 0.000, 0.000], [0.500, 0.500, 0.500], [0.250, 0.250, 0.250], [0.250, 0.750, 0.750], [0.750, 0.250, 0.750], [0.750, 0.750, 0.250], [0.250, 0.250, 0.750], [0.250, 0.750, 0.250], [0.750, 0.250, 0.250], [0.750, 0.750, 0.750]], "space_group": "F-43m, No. 216", "final_energy_ev_per_cell": -73.6}

{"formula": "La6Tb5Nd", "functional": "PBE", "state": "optimized geometry", "lattice": [[6.274, 0.000, 0.000], [0.018, 7.400, 0.000], [0.298, 0.003, 8.982]], "species": ["La", "La", "La", "La", "La", "La", "Tb", "Tb", "Tb", "Tb", "Tb", "Nd"], "frac_coords": [[0.000, 0.249, 0.000], [0.000, 0.751, 0.000], [0.332, 0.249, 0.335], [0.332, 0.751, 0.335], [0.668, 0.249, 0.665], [0.668, 0.751, 0.665], [0.167, 0.500, 0.666], [0.168, 0.000, 0.667], [0.500, 0.000, 0.000], [0.832, 0.000, 0.333], [0.833, 0.500, 0.334], [0.500, 0.500, 0.000]], "space_group": "P-1, No. 2", "final_energy_ev_per_cell": -57.2, "delta_e_f_ev_per_atom": 0.020}